P.
First-principles (GGA-PBE) data for a geometry-optimized Y2ThIn structure, as listed in the Alexandria database.

Computed properties:
D(E_F) ... 6.89 states/eV per cell
V ... 121.8 Å³/cell

abc: 11.1544 11.1544 11.1544
angles: 18.48 18.48 18.48
Atoms (fractional coordinates):
Y  0.0000  0.0000  0.0000
Y  0.1783  0.1783  0.1783
Th  0.7558  0.7558  0.7558
In  0.5895  0.5895  0.5895


Q.
First-principles (GGA-PBE) data for a geometry-optimized Y2ThIn structure, as listed in the Alexandria database.

Computed properties:
D(E_F) ... 12.14 states/eV per cell
V ... 249.4 Å³/cell

abc: 4.6865 4.7421 11.4655
angles: 90.00 101.82 90.00
Atoms (fractional coordinates):
Y  0.0615  0.2500  0.1218
Y  0.4349  0.2500  0.8711
Y  0.5651  0.7500  0.1289
Y  0.9385  0.7500  0.8782
Th  0.1956  0.7500  0.3892
Th  0.8044  0.2500  0.6108
In  0.3362  0.7500  0.6745
In  0.6638  0.2500  0.3255


Computed relative energies in units of kJ/mol of atoms: P 0.0; Q 3.6


P.
First-principles (GGA-PBE) data for a geometry-optimized YThIn structure, as listed in the Alexandria database.

Computed properties:
D(E_F) ... 8.36 states/eV per cell
V ... 174.5 Å³/cell

abc: 5.5049 5.5049 6.6474
angles: 90.00 90.00 120.00
Atoms (fractional coordinates):
Y  0.3333  0.6667  0.2500
Y  0.6667  0.3333  0.7500
Th  0.0000  0.0000  0.0000
Th  0.0000  0.0000  0.5000
In  0.3333  0.6667  0.7500
In  0.6667  0.3333  0.2500


Q.
First-principles (GGA-PBE) data for a geometry-optimized YThIn structure, as listed in the Alexandria database.

Computed properties:
D(E_F) ... 3.30 states/eV per cell
V ... 90.0 Å³/cell

abc: 7.4032 7.4032 7.4032
angles: 151.87 151.87 40.20
Atoms (fractional coordinates):
Y  0.0000  0.0000  0.0000
Th  0.6876  0.6876  0.0000
In  0.3501  0.3501  0.0000


Computed relative energies in units of kJ/mol of atoms: P 0.0; Q 7.6


P.
First-principles (GGA-PBE) data for a geometry-optimized ThZr2In structure, as listed in the Alexandria database.

Computed properties:
D(E_F) ... 6.27 states/eV per cell
V ... 97.8 Å³/cell

abc: 5.1723 5.1723 5.1723
angles: 60.00 60.00 60.00
Atoms (fractional coordinates):
Th  0.0000  0.0000  0.0000
Zr  0.2500  0.2500  0.2500
Zr  0.7500  0.7500  0.7500
In  0.5000  0.5000  0.5000


Q.
First-principles (GGA-PBE) data for a geometry-optimized ThZr2In structure, as listed in the Alexandria database.

Computed properties:
D(E_F) ... 5.10 states/eV per cell
V ... 99.0 Å³/cell

abc: 4.7687 4.7687 4.3542
angles: 90.00 90.00 90.00
Atoms (fractional coordinates):
Th  0.0000  0.0000  0.0000
Zr  0.0000  0.5000  0.5000
Zr  0.5000  0.0000  0.5000
In  0.5000  0.5000  0.0000


R.
First-principles (GGA-PBE) data for a geometry-optimized ThZr2In structure, as listed in the Alexandria database.

Computed properties:
D(E_F) ... 4.16 states/eV per cell
V ... 98.3 Å³/cell

abc: 3.7153 3.7153 7.1188
angles: 90.00 90.00 90.00
Atoms (fractional coordinates):
Th  0.0000  0.0000  0.0000
Zr  0.5000  0.5000  0.2681
Zr  0.5000  0.5000  0.7319
In  0.0000  0.0000  0.5000


S.
First-principles (GGA-PBE) data for a geometry-optimized ThZr2In structure, as listed in the Alexandria database.

Computed properties:
D(E_F) ... 3.69 states/eV per cell
V ... 101.3 Å³/cell

abc: 10.6301 10.6301 10.6301
angles: 18.11 18.11 18.11
Atoms (fractional coordinates):
Th  0.0000  0.0000  0.0000
Zr  0.2462  0.2462  0.2462
Zr  0.4202  0.4202  0.4202
In  0.8334  0.8334  0.8334


Computed relative energies in units of kJ/mol of atoms: P 10.9; Q 0.0; R 4.9; S 13.7


P.
First-principles (GGA-PBE) data for a geometry-optimized ThZrIn2 structure, as listed in the Alexandria database.

Computed properties:
D(E_F) ... 4.32 states/eV per cell
V ... 104.2 Å³/cell

abc: 5.2814 5.2814 5.2814
angles: 60.00 60.00 60.00
Atoms (fractional coordinates):
Th  0.0000  0.0000  0.0000
Zr  0.5000  0.5000  0.5000
In  0.2500  0.2500  0.2500
In  0.7500  0.7500  0.7500


Q.
First-principles (GGA-PBE) data for a geometry-optimized ThZrIn2 structure, as listed in the Alexandria database.

Computed properties:
D(E_F) ... 3.45 states/eV per cell
V ... 100.7 Å³/cell

abc: 3.3601 3.3601 8.9175
angles: 90.00 90.00 90.00
Atoms (fractional coordinates):
Th  0.0000  0.0000  0.0000
Zr  0.0000  0.0000  0.5000
In  0.5000  0.5000  0.2715
In  0.5000  0.5000  0.7285


R.
First-principles (GGA-PBE) data for a geometry-optimized ThZrIn2 structure, as listed in the Alexandria database.

Computed properties:
D(E_F) ... 5.28 states/eV per cell
V ... 211.9 Å³/cell

abc: 4.8121 7.3318 6.4227
angles: 90.00 110.78 90.00
Atoms (fractional coordinates):
Th  0.0606  0.2500  0.1372
Th  0.9394  0.7500  0.8628
Zr  0.1926  0.7500  0.4200
Zr  0.8074  0.2500  0.5800
In  0.3904  0.0505  0.7586
In  0.3904  0.4495  0.7586
In  0.6096  0.5505  0.2414
In  0.6096  0.9495  0.2414


Computed relative energies in units of kJ/mol of atoms: P 13.6; Q 0.0; R 4.6


P.
First-principles (GGA-PBE) data for a geometry-optimized ThZrIn2 structure, as listed in the Alexandria database.

Computed properties:
D(E_F) ... 3.64 states/eV per cell
V ... 103.5 Å³/cell

abc: 10.9170 10.9170 10.9170
angles: 17.57 17.57 17.57
Atoms (fractional coordinates):
Th  0.0000  0.0000  0.0000
Zr  0.5000  0.5000  0.5000
In  0.2445  0.2445  0.2445
In  0.7555  0.7555  0.7555


Q.
First-principles (GGA-PBE) data for a geometry-optimized ThZrIn2 structure, as listed in the Alexandria database.

Computed properties:
D(E_F) ... 3.25 states/eV per cell
V ... 103.0 Å³/cell

abc: 4.6982 4.6982 4.6673
angles: 90.00 90.00 90.00
Atoms (fractional coordinates):
Th  0.0000  0.0000  0.0000
Zr  0.5000  0.5000  0.0000
In  0.0000  0.5000  0.5000
In  0.5000  0.0000  0.5000


Computed relative energies in units of kJ/mol of atoms: P 7.5; Q 0.0


P.
First-principles (GGA-PBE) data for a geometry-optimized Th2ZrIn structure, as listed in the Alexandria database.

Computed properties:
D(E_F) ... 7.29 states/eV per cell
V ... 114.8 Å³/cell

abc: 4.0996 4.0996 6.8293
angles: 90.00 90.00 90.00
Atoms (fractional coordinates):
Th  0.0000  0.0000  0.2456
Th  0.0000  0.0000  0.7544
Zr  0.5000  0.5000  0.5000
In  0.5000  0.5000  0.0000


Q.
First-principles (GGA-PBE) data for a geometry-optimized Th2ZrIn structure, as listed in the Alexandria database.

Computed properties:
D(E_F) ... 4.57 states/eV per cell
V ... 110.4 Å³/cell

abc: 4.7495 4.7495 4.8947
angles: 90.00 90.00 90.00
Atoms (fractional coordinates):
Th  0.0000  0.5000  0.0000
Th  0.5000  0.0000  0.0000
Zr  0.0000  0.0000  0.5000
In  0.5000  0.5000  0.5000


Computed relative energies in units of kJ/mol of atoms: P 12.2; Q 0.0


P.
First-principles (GGA-PBE) data for a geometry-optimized Th2ZrIn structure, as listed in the Alexandria database.

Computed properties:
D(E_F) ... 8.69 states/eV per cell
V ... 220.2 Å³/cell

abc: 4.7737 4.7308 9.7513
angles: 90.00 90.00 90.00
Atoms (fractional coordinates):
Th  0.2500  0.0000  0.1379
Th  0.2500  0.5000  0.8549
Th  0.7500  0.0000  0.8621
Th  0.7500  0.5000  0.1451
Zr  0.2500  0.5000  0.3909
Zr  0.7500  0.5000  0.6091
In  0.2500  0.0000  0.6081
In  0.7500  0.0000  0.3919


Q.
First-principles (GGA-PBE) data for a geometry-optimized Th2ZrIn structure, as listed in the Alexandria database.

Computed properties:
D(E_F) ... 7.37 states/eV per cell
V ... 120.3 Å³/cell

abc: 12.3388 12.3388 12.3388
angles: 15.73 15.73 15.73
Atoms (fractional coordinates):
Th  0.0911  0.0911  0.0911
Th  0.9089  0.9089  0.9089
Zr  0.5000  0.5000  0.5000
In  0.0000  0.0000  0.0000


Computed relative energies in units of kJ/mol of atoms: P 0.0; Q 28.4


P.
First-principles (GGA-PBE) data for a geometry-optimized Ti3In2 structure, as listed in the Alexandria database.

Computed properties:
D(E_F) ... 4.54 states/eV per cell
V ... 95.1 Å³/cell

abc: 5.6565 5.6565 5.6565
angles: 49.14 49.14 49.14
Atoms (fractional coordinates):
Ti  0.0000  0.0000  0.0000
Ti  0.1959  0.1959  0.1959
Ti  0.8041  0.8041  0.8041
In  0.4026  0.4026  0.4026
In  0.5974  0.5974  0.5974


Q.
First-principles (GGA-PBE) data for a geometry-optimized Ti3In2 structure, as listed in the Alexandria database.

Computed properties:
D(E_F) ... 18.60 states/eV per cell
V ... 402.1 Å³/cell

abc: 10.8411 3.8219 9.7046
angles: 90.00 90.00 90.00
Atoms (fractional coordinates):
Ti  0.0370  0.2500  0.0940
Ti  0.0627  0.7500  0.5955
Ti  0.1262  0.2500  0.7995
Ti  0.3738  0.7500  0.2995
Ti  0.4373  0.2500  0.0955
Ti  0.4630  0.7500  0.5940
Ti  0.5370  0.2500  0.4060
Ti  0.5627  0.7500  0.9045
Ti  0.6262  0.2500  0.7005
Ti  0.8738  0.7500  0.2005
Ti  0.9373  0.2500  0.4045
Ti  0.9630  0.7500  0.9060
In  0.1162  0.7500  0.3022
In  0.2396  0.7500  0.0103
In  0.2604  0.2500  0.5103
In  0.3838  0.2500  0.8022
In  0.6162  0.7500  0.1978
In  0.7396  0.7500  0.4897
In  0.7604  0.2500  0.9897
In  0.8838  0.2500  0.6978


Computed relative energies in units of kJ/mol of atoms: P 0.0; Q 14.6


P.
First-principles (GGA-PBE) data for a geometry-optimized Ti5In structure, as listed in the Alexandria database.

Computed properties:
D(E_F) ... 5.06 states/eV per cell
V ... 107.5 Å³/cell

abc: 5.1025 5.1025 4.7684
angles: 90.00 90.00 120.00
Atoms (fractional coordinates):
Ti  0.0000  0.6685  0.0000
Ti  0.3315  0.3315  0.0000
Ti  0.3333  0.6667  0.5000
Ti  0.6667  0.3333  0.5000
Ti  0.6685  0.0000  0.0000
In  0.0000  0.0000  0.5000


Q.
First-principles (GGA-PBE) data for a geometry-optimized Ti5In structure, as listed in the Alexandria database.

Computed properties:
D(E_F) ... 7.99 states/eV per cell
V ... 107.2 Å³/cell

abc: 6.6364 6.6364 4.1038
angles: 90.00 90.00 143.62
Atoms (fractional coordinates):
Ti  0.0000  0.0000  0.0000
Ti  0.1716  0.8284  0.5000
Ti  0.3283  0.6717  0.0000
Ti  0.6717  0.3283  0.0000
Ti  0.8284  0.1716  0.5000
In  0.5000  0.5000  0.5000


Computed relative energies in units of kJ/mol of atoms: P 2.6; Q 0.0


P.
First-principles (GGA-PBE) data for a geometry-optimized Ti3TlIn structure, as listed in the Alexandria database.

Computed properties:
D(E_F) ... 6.85 states/eV per cell
V ... 203.1 Å³/cell

abc: 4.7812 7.0151 6.0557
angles: 90.00 90.00 90.00
Atoms (fractional coordinates):
Ti  0.2500  0.0774  0.2239
Ti  0.2500  0.4226  0.2239
Ti  0.2500  0.7500  0.9754
Ti  0.7500  0.2500  0.0246
Ti  0.7500  0.5774  0.7761
Ti  0.7500  0.9226  0.7761
Tl  0.2500  0.7500  0.5272
Tl  0.7500  0.2500  0.4728
In  0.2500  0.2500  0.7739
In  0.7500  0.7500  0.2261


Q.
First-principles (GGA-PBE) data for a geometry-optimized Ti3TlIn structure, as listed in the Alexandria database.

Computed properties:
D(E_F) ... 3.60 states/eV per cell
V ... 126.8 Å³/cell

abc: 5.0238 5.0238 5.0238
angles: 90.00 90.00 90.00
Atoms (fractional coordinates):
Ti  0.0000  0.0000  0.5000
Ti  0.0000  0.5000  0.0000
Ti  0.5000  0.0000  0.0000
Tl  0.5000  0.5000  0.5000
In  0.0000  0.0000  0.0000


Computed relative energies in units of kJ/mol of atoms: P 0.0; Q 76.1


P.
First-principles (GGA-PBE) data for a geometry-optimized TmTi2In structure, as listed in the Alexandria database.

Computed properties:
D(E_F) ... 5.01 states/eV per cell
V ... 83.2 Å³/cell

abc: 4.3849 4.3849 4.3266
angles: 90.00 90.00 90.00
Atoms (fractional coordinates):
Tm  0.0000  0.0000  0.0000
Ti  0.0000  0.5000  0.5000
Ti  0.5000  0.0000  0.5000
In  0.5000  0.5000  0.0000


Q.
First-principles (GGA-PBE) data for a geometry-optimized TmTi2In structure, as listed in the Alexandria database.

Computed properties:
D(E_F) ... 4.09 states/eV per cell
V ... 81.9 Å³/cell

abc: 4.8745 4.8745 4.8745
angles: 60.00 60.00 60.00
Atoms (fractional coordinates):
Tm  0.0000  0.0000  0.0000
Ti  0.2500  0.2500  0.2500
Ti  0.7500  0.7500  0.7500
In  0.5000  0.5000  0.5000


Computed relative energies in units of kJ/mol of atoms: P 0.0; Q 10.9


P.
First-principles (GGA-PBE) data for a geometry-optimized Tm2TiIn structure, as listed in the Alexandria database.

Computed properties:
D(E_F) ... 3.77 states/eV per cell
V ... 97.7 Å³/cell

abc: 4.6758 4.6758 4.4697
angles: 90.00 90.00 90.00
Atoms (fractional coordinates):
Tm  0.0000  0.5000  0.0000
Tm  0.5000  0.0000  0.0000
Ti  0.0000  0.0000  0.5000
In  0.5000  0.5000  0.5000


Q.
First-principles (GGA-PBE) data for a geometry-optimized Tm2TiIn structure, as listed in the Alexandria database.

Computed properties:
D(E_F) ... 4.12 states/eV per cell
V ... 99.0 Å³/cell

abc: 5.1917 5.1917 5.1917
angles: 60.00 60.00 60.00
Atoms (fractional coordinates):
Tm  0.2500  0.2500  0.2500
Tm  0.7500  0.7500  0.7500
Ti  0.0000  0.0000  0.0000
In  0.5000  0.5000  0.5000


R.
First-principles (GGA-PBE) data for a geometry-optimized Tm2TiIn structure, as listed in the Alexandria database.

Computed properties:
D(E_F) ... 4.25 states/eV per cell
V ... 100.3 Å³/cell

abc: 10.4650 10.4650 10.4650
angles: 18.45 18.45 18.45
Atoms (fractional coordinates):
Tm  0.2463  0.2463  0.2463
Tm  0.7537  0.7537  0.7537
Ti  0.5000  0.5000  0.5000
In  0.0000  0.0000  0.0000


Computed relative energies in units of kJ/mol of atoms: P 0.0; Q 2.7; R 10.4